Crystalline Re2HgP at its relaxed geometry. Source: Alexandria via LeMat-Bulk, functional GGA-PBEsol.

Lattice parameters (Å, degrees): 2.943 4.895 8.606 90.00 90.00 90.00
Space group Cmmm (No. 65)
Asymmetric unit:
Re 0.000 0.000 0.210 (multiplicity 4)
Hg 0.000 0.500 0.500 (multiplicity 2)
P 0.000 0.500 0.000 (multiplicity 2)

Values from the calculation:
D(E_F) = 5.2 states/eV per cell
DFT formation energy = 0.494 eV/atom

Crystalline ReHgP2 at its relaxed geometry. Source: Alexandria via LeMat-Bulk, functional GGA-PBEsol.

Lattice parameters (Å, degrees): 2.9858 2.9858 28.1883 90.00 90.00 120.00
Space group R-3m (No. 166, hexagonal axes)
Asymmetric unit:
Re 0.0000 0.0000 0.0000 (multiplicity 3)
Hg 0.0000 0.0000 0.5000 (multiplicity 3)
P 0.0000 0.0000 0.2727 (multiplicity 6)

Values from the calculation:
D(E_F) = 4.3 states/eV per cell
DFT formation energy = -0.012 eV/atom

Crystalline ReHgP2 at its relaxed geometry. Source: Alexandria via LeMat-Bulk, functional GGA-PBEsol.

Lattice parameters (Å, degrees): 5.789 6.754 3.126 90.00 90.00 90.00
Space group Cmmm (No. 65)
Asymmetric unit:
Re 0.000 0.000 0.000 (multiplicity 2)
Hg 0.000 0.500 0.000 (multiplicity 2)
P 0.250 0.250 0.500 (multiplicity 4)

Values from the calculation:
D(E_F) = 5.8 states/eV per cell
DFT formation energy = 0.755 eV/atom

Crystalline HgP2Rh at its relaxed geometry. Source: Alexandria via LeMat-Bulk, functional GGA-PBEsol.

Lattice parameters (Å, degrees): 2.786 4.758 10.119 90.00 90.00 90.00
Space group Immm (No. 71)
Asymmetric unit:
Hg 0.000 0.000 0.000 (multiplicity 2)
P 0.000 0.500 0.195 (multiplicity 4)
Rh 0.000 0.000 0.500 (multiplicity 2)

Values from the calculation:
D(E_F) = 4.4 states/eV per cell
DFT formation energy = 0.105 eV/atom

Crystalline HgPRh at its relaxed geometry. Source: Alexandria via LeMat-Bulk, functional GGA-PBEsol.

Lattice parameters (Å, degrees): 2.885 2.885 12.022 90.00 90.00 90.00
Space group I4mm (No. 107)
Asymmetric unit:
Hg 0.000 0.000 0.000 (multiplicity 2)
P 0.000 0.000 0.713 (multiplicity 2)
Rh 0.000 0.000 0.317 (multiplicity 2)

Values from the calculation:
D(E_F) = 2.5 states/eV per cell
DFT formation energy = -0.186 eV/atom

Crystalline HgP2Rh at its relaxed geometry. Source: Alexandria via LeMat-Bulk, functional GGA-PBEsol.

Lattice parameters (Å, degrees): 3.900 3.900 8.207 90.00 90.00 90.00
Space group I-4m2 (No. 119)
Asymmetric unit:
Hg 0.000 0.000 0.000 (multiplicity 2)
P 0.000 0.000 0.500 (multiplicity 2)
P 0.000 0.500 0.250 (multiplicity 2)
Rh 0.000 0.500 0.750 (multiplicity 2)

Values from the calculation:
D(E_F) = 4.4 states/eV per cell
DFT formation energy = 0.423 eV/atom

Question: What is the formula in the fourth record?
Answer: HgP2Rh

Copy entry 4 word for word.
Crystalline HgP2Rh at its relaxed geometry. Source: Alexandria via LeMat-Bulk, functional GGA-PBEsol.

Lattice parameters (Å, degrees): 2.786 4.758 10.119 90.00 90.00 90.00
Space group Immm (No. 71)
Asymmetric unit:
Hg 0.000 0.000 0.000 (multiplicity 2)
P 0.000 0.500 0.195 (multiplicity 4)
Rh 0.000 0.000 0.500 (multiplicity 2)

Values from the calculation:
D(E_F) = 4.4 states/eV per cell
DFT formation energy = 0.105 eV/atom

Question: The highest DFT formation energy belongs to which entry?
Answer: number 3